! NpBiS | Alexandria | PBE-GGA | relaxed; values from VASP
! N(E_F)   2.642 states/eV per atom
! Formation energy (no corrections)   -1.96 eV per formula unit
! E   -7.6347 eV/atom
! Symmetry   No. 63
&SYSTEM
  ibrav = 0, nat = 6, ntyp = 3
/
ATOMIC_SPECIES
Np 237.00 Np.upf
Bi 208.98 Bi.upf
S 32.06 S.upf
ATOMIC_POSITIONS crystal
Np 0.0659 0.9341 0.7500
Np 0.9341 0.0659 0.2500
Bi 0.2142 0.7858 0.2500
Bi 0.7858 0.2142 0.7500
S 0.5000 0.5000 0.0000
S 0.5000 0.5000 0.5000
CELL_PARAMETERS angstrom
1.8528 -6.2084 0.0000
1.8528 6.2084 0.0000
0.0000 0.0000 6.9115